Record 1
CrInSeI2 | PBE | relaxed

uncorrected energy = -15.95 eV for the cell shown

Lattice parameters (Å, degrees): 6.040 5.471 6.040 90.00 90.00 90.00
Site moments in Bohr magnetons follow the coordinates.
Positions (direct):
I: 0.000 0.000 0.500  0.01
I: 0.500 0.000 0.000  0.03
Cr: 0.500 0.500 0.500  4.44
Se: 0.000 0.000 0.000  0.02
In: 0.000 0.500 0.000  0.02

***

Record 2
YTa2Au | PBE | relaxed

energy above the most stable polymorph in this dataset = 106.1 meV per atom

Lattice parameters (Å, degrees): 6.016 6.016 4.733 66.85 66.85 32.10
Positions (direct):
Au: 0.250 0.250 0.250
Ta: 0.983 0.983 0.017
Ta: 0.517 0.517 0.483
Y: 0.750 0.750 0.750

***

Record 3
ErAg2Pd | PBE | relaxed

energy above the most stable polymorph in this dataset = 0.0 meV per atom

Lattice parameters (Å, degrees): 4.074 9.204 9.068 90.02 153.48 89.98
Positions (direct):
Er: 0.750 0.250 0.856
Er: 0.250 0.750 0.356
Ag: 0.250 0.001 0.856
Ag: 0.250 0.500 0.856
Ag: 0.750 0.999 0.356
Ag: 0.750 0.500 0.356
Pd: 0.750 0.750 0.856
Pd: 0.250 0.250 0.356

***

Record 4
SrZn2Ni2 | PBE | relaxed

energy above the most stable polymorph in this dataset = 2.2 meV per atom

Lattice parameters (Å, degrees): 4.175 4.175 5.943 69.43 69.43 90.00
Positions (direct):
Sr: 0.000 0.000 0.000
Zn: 0.750 0.250 0.500
Zn: 0.250 0.750 0.500
Ni: 0.384 0.384 0.232
Ni: 0.616 0.616 0.768

***

Record 5
ScCu | PBE | relaxed

uncorrected energy = -85.68 eV for the cell shown

Lattice parameters (Å, degrees): 7.975 7.975 4.558 90.00 90.00 90.00
Positions (direct):
Sc: 0.209 0.500 0.000
Sc: 0.791 0.500 0.000
Sc: 0.500 0.791 0.000
Sc: 0.500 0.209 0.000
Sc: 0.709 0.000 0.500
Sc: 0.291 0.000 0.500
Sc: 0.000 0.291 0.500
Sc: 0.000 0.709 0.500
Cu: 0.837 0.837 0.000
Cu: 0.837 0.163 0.000
Cu: 0.163 0.837 0.000
Cu: 0.163 0.163 0.000
Cu: 0.337 0.337 0.500
Cu: 0.337 0.663 0.500
Cu: 0.663 0.337 0.500
Cu: 0.663 0.663 0.500

***

Record 6
Y2CdTc | PBE | relaxed

uncorrected energy = -23.79 eV for the cell shown

Lattice parameters (Å, degrees): 5.608 5.608 5.608 133.65 133.65 67.63
Site moments in Bohr magnetons follow the coordinates.
Positions (direct):
Cd: 0.500 0.500 0.000  0.00
Tc: 0.750 0.250 0.500  0.25
Y: 0.000 0.000 0.000  -0.01
Y: 0.250 0.750 0.500  -0.02

***

Record 7
DyLu5 | PBE | relaxed

uncorrected energy = -26.51 eV for the cell shown

Lattice parameters (Å, degrees): 3.677 5.574 9.190 107.65 90.00 90.00
Positions (direct):
Lu: 0.000 0.653 0.307
Lu: 0.000 0.347 0.693
Lu: 0.500 0.500 0.000
Lu: 0.500 0.182 0.364
Lu: 0.500 0.818 0.636
Dy: 0.000 0.000 0.000

***

Record 8
CaTbIn6 | PBE | relaxed

uncorrected energy = -26.07 eV for the cell shown

Lattice parameters (Å, degrees): 4.680 4.680 9.382 90.00 90.00 90.00
Positions (direct):
Ca: 0.000 0.000 0.000
Tb: 0.000 0.000 0.500
In: 0.500 0.500 0.000
In: 0.500 0.500 0.500
In: 0.500 0.000 0.252
In: 0.500 0.000 0.748
In: 0.000 0.500 0.252
In: 0.000 0.500 0.748

***

Record 9
Dy4Ag2HgPt | PBE | relaxed

uncorrected energy = -35.33 eV for the cell shown

Lattice parameters (Å, degrees): 5.113 5.113 8.845 73.20 73.20 60.00
Positions (direct):
Dy: 0.382 0.382 0.855
Dy: 0.870 0.870 0.390
Dy: 0.130 0.130 0.610
Dy: 0.618 0.618 0.145
Ag: 0.744 0.744 0.769
Ag: 0.256 0.256 0.231
Hg: 0.000 0.000 0.000
Pt: 0.500 0.500 0.500

***

Record 10
Tb4C2I | PBE | relaxed

uncorrected energy = -42.10 eV for the cell shown

Lattice parameters (Å, degrees): 3.701 3.701 13.986 82.40 82.40 60.00
Positions (direct):
Tb: 0.124 0.124 0.627
Tb: 0.273 0.273 0.182
Tb: 0.727 0.727 0.818
Tb: 0.876 0.876 0.373
C: 0.424 0.424 0.729
C: 0.576 0.576 0.271
I: 0.000 0.000 0.000

***

Record 11
SmTm2SnC | PBE | relaxed

uncorrected energy = -29.94 eV for the cell shown

Lattice parameters (Å, degrees): 5.021 4.821 4.821 90.00 90.00 90.00
Positions (direct):
Sm: 0.500 0.000 0.000
Tm: 0.000 0.000 0.500
Tm: 0.000 0.500 0.000
Sn: 0.500 0.500 0.500
C: 0.000 0.000 0.000

***

Record 12
RbPm2Te3 | PBE | relaxed

energy above the most stable polymorph in this dataset = 0.0 meV per atom

Lattice parameters (Å, degrees): 4.534 4.534 24.634 90.00 90.00 120.00
Positions (direct):
Rb: 0.000 0.000 0.250
Rb: 0.000 0.000 0.750
Pm: 0.333 0.667 0.925
Pm: 0.667 0.333 0.075
Pm: 0.667 0.333 0.425
Pm: 0.333 0.667 0.575
Te: 0.000 0.000 0.000
Te: 0.333 0.667 0.146
Te: 0.333 0.667 0.354
Te: 0.000 0.000 0.500
Te: 0.667 0.333 0.646
Te: 0.667 0.333 0.854

***

Going through the records in order, we get theoretical density values of 4.16; 12.95; 10.71; 6.20; 4.97; 7.10; 9.60; 7.18; 11.09; 7.97; 8.81; 5.74 Mg/m³.
Going through the records in order, we get V values of 199.6; 83.1; 75.9; 89.9; 36.2; 90.8; 179.5; 205.5; 188.8; 163.9; 116.7; 219.3 Å³/f.u..